Here is TlCdIrF2 after structural relaxation from the Alexandria database. Energies are from GGA-PBEsol.

Cell: 4.232 4.232 5.462 Å, 90.00 90.00 90.00°
Atoms (fractional coordinates):
Tl 0.000 0.000 0.000
Cd 0.500 0.500 0.500
Ir 0.000 0.000 0.500
F 0.000 0.500 0.000
F 0.500 0.000 0.000

Output
density	9.284	g/cm³
space-group type	P4/mmm
size of the total moment	0.40	μB per formula unit
uncorrected energy	-3.675	eV per atom